Entry 1:
Here is a PBEsol-optimized structure of MnIr2Ru from Alexandria. Energies are from SCAN.

Unit cell a=3.745 b=3.745 c=4.597 alpha=114.05 beta=114.05 gamma=89.98
Element x y z (fractional)
Ru 0.250 0.750 0.500
Ir 0.000 0.000 0.000
Ir 0.750 0.250 0.500
Mn 0.500 0.500 0.000

Values from the calculation:
- total DFT energy (no corrections) (eV/atom) = -49.041
- total moment (μB per atom) = 0.5738
- DOS at the Fermi energy (states/eV/cell) = 3.79
- calculated formation energy (eV per atom) = -0.22

---

Entry 2:
Here is a PBEsol-optimized structure of MnTlIrRu2 from Alexandria. Energies are from SCAN.

Unit cell a=4.652 b=4.652 c=4.723 alpha=90.00 beta=90.00 gamma=90.00
Element x y z (fractional)
Ru 0.000 0.500 0.000
Ru 0.500 0.000 0.000
Tl 0.500 0.500 0.500
Ir 0.000 0.000 0.000
Mn 0.000 0.000 0.500

Values from the calculation:
- total DFT energy (no corrections) (eV/atom) = -45.182
- total moment (μB per atom) = 0.9034
- DOS at the Fermi energy (states/eV/cell) = 4.24
- calculated formation energy (eV per atom) = 1.09

---

Entry 3:
Here is a PBEsol-optimized structure of MnSbIr from Alexandria. Energies are from SCAN.

Unit cell a=4.263 b=4.263 c=4.263 alpha=60.00 beta=60.00 gamma=60.00
Element x y z (fractional)
Sb 0.500 0.500 0.500
Ir 0.250 0.250 0.250
Mn 0.000 0.000 0.000

Values from the calculation:
- total DFT energy (no corrections) (eV/atom) = -42.694
- total moment (μB per atom) = 1.1317
- DOS at the Fermi energy (states/eV/cell) = 1.72
- formation energy without anion corrections (eV/atom) = -0.489

---

Entry 4:
Here is a PBEsol-optimized structure of MnSbIr4 from Alexandria. Energies are from SCAN.

Unit cell a=5.200 b=5.200 c=5.200 alpha=60.00 beta=60.00 gamma=60.00
Element x y z (fractional)
Ir 0.375 0.375 0.375
Ir 0.375 0.375 0.874
Ir 0.874 0.375 0.375
Ir 0.375 0.874 0.375
Mn 0.750 0.750 0.750
Sb 0.000 0.000 0.000

Values from the calculation:
- total DFT energy (no corrections) (eV/atom) = -56.409
- total moment (μB per atom) = 0.8466
- DOS at the Fermi energy (states/eV/cell) = 5.20
- formation energy without anion corrections (eV/atom) = 0.243

---

Entry 5:
Here is a PBEsol-optimized structure of MnSb2Ir from Alexandria. Energies are from SCAN.

Unit cell a=5.913 b=5.913 c=7.304 alpha=113.88 beta=113.88 gamma=90.00
Element x y z (fractional)
Sb 0.362 0.875 0.250
Sb 0.888 0.375 0.250
Sb 0.125 0.112 0.750
Sb 0.625 0.638 0.750
Ir 0.250 0.750 0.500
Ir 0.000 0.000 0.000
Mn 0.750 0.250 0.500
Mn 0.500 0.500 0.000

Values from the calculation:
- total DFT energy (no corrections) (eV/atom) = -40.791
- total moment (μB per atom) = 0.9503
- excess energy over the best structure of this formula in the dataset (meV/atom) = 0
- DOS at the Fermi energy (states/eV/cell) = 5.17
- formation energy without anion corrections (eV/atom) = 0.178

---

Entry 6:
Here is a PBEsol-optimized structure of MnSb2Ir from Alexandria. Energies are from SCAN.

Unit cell a=3.918 b=3.918 c=5.487 alpha=110.92 beta=110.92 gamma=90.00
Element x y z (fractional)
Ir 0.500 0.500 0.000
Mn 0.250 0.750 0.500
Sb 0.000 0.000 0.000
Sb 0.750 0.250 0.500

Values from the calculation:
- total DFT energy (no corrections) (eV/atom) = -40.788
- total moment (μB per atom) = 1.0064
- excess energy over the best structure of this formula in the dataset (meV/atom) = 2
- DOS at the Fermi energy (states/eV/cell) = 1.83
- formation energy without anion corrections (eV/atom) = 0.180